Density functional theory data (GGA-PBE) for crystalline Zn2HgCl at its relaxed geometry.

Lattice parameters (Å, degrees): 5.0043 5.0043 5.0043 60.00 60.00 60.00
With the nearest neighbours (Å) after each atom.
Atoms (fractional coordinates):
Zn: 0.2500 0.2500 0.2500  4 Hg 3.06, 4 Cl 3.06
Zn: 0.7500 0.7500 0.7500  4 Hg 3.06, 4 Cl 3.06
Hg: 0.0000 0.0000 0.0000  8 Zn 3.06
Cl: 0.5000 0.5000 0.5000  8 Zn 3.06

Calculated values
**SG**: No. 225
**E above lowest polymorph**: 298.0 meV per atom
**Uncorrected energy**: -1.09 eV/atom